[1]
A relaxed Ni2PdCl8 crystal. Source: Alexandria via LeMat-Bulk, functional PBE.

Structure (POSCAR):
```
Ni2PdCl8
1.0
4.552 -4.167 0.000
4.552 4.167 0.000
-1.706 0.000 9.039
Ni Pd Cl
2 1 8
Direct
0.107 0.107 0.371
0.893 0.893 0.629
0.000 0.000 0.000
0.113 0.738 0.817
0.136 0.136 0.617
0.262 0.887 0.183
0.346 0.346 0.393
0.654 0.654 0.607
0.738 0.113 0.817
0.864 0.864 0.383
0.887 0.262 0.183
```

Computed properties:
crystal system	monoclinic
M_tot	2.1	μB per cell
uncorrected energy	-3.268	eV per atom


[2]
A relaxed NiPdPtCl2 crystal. Source: Alexandria via LeMat-Bulk, functional PBE.

Structure (POSCAR):
```
NiPdPtCl2
1.0
4.616 0.000 0.000
0.000 4.616 0.000
0.000 0.000 5.241
Ni Pd Pt Cl
1 1 1 2
Direct
0.000 0.000 0.000
0.500 0.500 0.500
0.500 0.500 0.000
0.000 0.500 0.500
0.500 0.000 0.500
```

Computed properties:
crystal system	tetragonal
M_tot	1.2	μB per cell
uncorrected energy	-3.306	eV per atom


[3]
A relaxed RbNiPd2Cl crystal. Source: Alexandria via LeMat-Bulk, functional PBE.

Structure (POSCAR):
```
RbNiPd2Cl
1.0
4.871 0.000 0.000
0.000 4.871 0.000
0.000 0.000 4.788
Rb Ni Pd Cl
1 1 2 1
Direct
0.000 0.000 0.000
0.500 0.500 0.500
0.000 0.500 0.500
0.500 0.000 0.500
0.500 0.500 0.000
```

Computed properties:
crystal system	tetragonal
M_tot	0.6	μB per cell
uncorrected energy	-3.603	eV per atom


[4]
A relaxed RbNi2PdCl8 crystal. Source: Alexandria via LeMat-Bulk, functional PBE.

Structure (POSCAR):
```
RbNi2PdCl8
1.0
3.157 1.823 9.423
-3.157 1.823 9.423
0.000 -3.645 9.423
Rb Ni Pd Cl
1 2 1 8
Direct
0.000 0.000 0.000
0.239 0.239 0.239
0.761 0.761 0.761
0.500 0.500 0.500
0.131 0.757 0.457
0.243 0.543 0.869
0.316 0.316 0.316
0.457 0.131 0.757
0.543 0.869 0.243
0.684 0.684 0.684
0.757 0.457 0.131
0.869 0.243 0.543
```

Computed properties:
crystal system	trigonal
M_tot	3.0	μB per cell
uncorrected energy	-3.402	eV per atom


[5]
A relaxed Re2NiPdCl crystal. Source: Alexandria via LeMat-Bulk, functional PBE.

Structure (POSCAR):
```
Re2NiPdCl
1.0
4.591 0.000 0.000
0.000 4.591 0.000
0.000 0.000 4.287
Re Ni Pd Cl
2 1 1 1
Direct
0.000 0.500 0.000
0.500 0.000 0.000
0.000 0.000 0.000
0.500 0.500 0.500
0.000 0.000 0.500
```

Computed properties:
crystal system	tetragonal
M_tot	3.3	μB per cell
uncorrected energy	-5.684	eV per atom


[6]
A relaxed Ni2PdRhCl crystal. Source: Alexandria via LeMat-Bulk, functional PBE.

Structure (POSCAR):
```
Ni2PdRhCl
1.0
4.662 0.000 0.000
0.000 4.662 0.000
0.000 0.000 4.505
Ni Pd Rh Cl
2 1 1 1
Direct
0.000 0.500 0.000
0.500 0.000 0.000
0.000 0.000 0.000
0.500 0.500 0.500
0.000 0.000 0.500
```

Computed properties:
crystal system	tetragonal
M_tot	3.2	μB per cell
uncorrected energy	-3.863	eV per atom


- Number 1 is which compound?
  Ni2PdCl8